# 1
VASP calculation (PBE-GGA) on an optimized crystal structure of SrTmAlCd.

## Properties
symmetry = No. 216

abc: 5.382 5.382 5.382
angles: 60.00 60.00 60.00
Fractional coordinates of all 4 atoms:
1 Sr 0.000 0.000 0.000
2 Tm 0.500 0.500 0.500
3 Al 0.750 0.750 0.750
4 Cd 0.250 0.250 0.250

***

# 2
VASP calculation (PBE-GGA) on an optimized crystal structure of SrYAlCd.

## Properties
symmetry = No. 216

abc: 5.419 5.419 5.419
angles: 60.00 60.00 60.00
Fractional coordinates of all 4 atoms:
1 Sr 0.000 0.000 0.000
2 Y 0.500 0.500 0.500
3 Al 0.750 0.750 0.750
4 Cd 0.250 0.250 0.250

***

# 3
VASP calculation (PBE-GGA) on an optimized crystal structure of Sr2AlZn4Cd3.

## Properties
symmetry = No. 115

abc: 4.426 4.426 11.899
angles: 90.00 90.00 90.00
Fractional coordinates of all 10 atoms:
1 Sr 0.000 0.500 0.244
2 Sr 0.500 0.000 0.756
3 Al 0.500 0.500 0.000
4 Zn 0.000 0.000 0.500
5 Zn 0.000 0.500 0.868
6 Zn 0.500 0.000 0.132
7 Zn 0.500 0.500 0.500
8 Cd 0.000 0.000 0.000
9 Cd 0.000 0.500 0.640
10 Cd 0.500 0.000 0.360

***

no.,magnetization (μB per formula unit),electronic total energy (eV/atom)
1,0.00,-2.9065
2,0.00,-3.4374
3,0.00,-1.7087